16
Lattice="-3.746 -0.636 -5.460 -4.238 -4.276 3.406 -4.279 6.021 2.235" Properties=species:S:1:pos:R:3 comment="PBE-GGA NbCuAg2S4, relaxed" mass_density_g_cm3=4.68 raw_formation_energy_ev_per_atom=-0.451 e_tot_ev_per_cell=-79.96 vol_a3_per_cell=355 pbc="T T T"
S -7.934 2.527 -2.109
S -1.824 -0.785 -1.378
S -5.825 -0.440 -3.211
Ag -6.505 2.840 -0.050
Ag -4.344 -0.202 -1.179
S -6.827 -4.226 -1.684
S -5.390 -1.646 0.683
S -8.942 -1.225 -0.495
Cu -5.424 -3.892 0.101
Ag -6.145 1.577 3.902
Cu -2.846 2.306 1.663
Nb -7.515 -0.867 1.273
S -4.020 2.202 -0.306
S -7.559 1.407 1.816
Ag -4.028 -1.402 2.796
Nb -4.419 -1.341 -4.848

5
Lattice="4.763 0.000 0.000 0.000 5.194 0.000 0.000 0.000 4.763" Properties=species:S:1:pos:R:3 comment="PBE-GGA NbCu2AgSb, relaxed" dos_at_fermi_per_ev_atom=1.020 mass_density_g_cm3=6.34 raw_formation_energy_ev_per_atom=1.320 e_tot_ev_per_cell=-18.63 vol_a3_per_cell=118 pbc="T T T"
Sb 2.381 2.597 2.381
Nb 0.000 0.000 0.000
Cu 0.000 0.000 2.381
Cu 2.381 0.000 0.000
Ag 0.000 2.597 0.000

5
Lattice="5.003 0.000 0.000 0.000 4.910 0.000 0.000 0.000 5.003" Properties=species:S:1:pos:R:3 comment="PBE-GGA NbCuAgSe2, relaxed" dos_at_fermi_per_ev_atom=0.337 mass_density_g_cm3=5.70 raw_formation_energy_ev_per_atom=0.313 e_tot_ev_per_cell=-22.42 vol_a3_per_cell=123 pbc="T T T"
Se 0.000 0.000 2.502
Nb 0.000 0.000 0.000
Cu 0.000 2.455 0.000
Ag 2.502 2.455 2.502
Se 2.502 0.000 0.000

4
Lattice="4.440 0.000 0.000 2.220 3.846 0.000 2.220 1.282 3.626" Properties=species:S:1:pos:R:3 comment="PBE-GGA NbZnCuAg, relaxed" dos_at_fermi_per_ev_atom=0.557 mass_density_g_cm3=8.84 e_tot_ev_per_cell=-17.67 formation_enthalpy_0k_ev_per_atom=0.154 vol_a3_per_cell=62 pbc="T T T"
Zn 6.661 3.846 2.719
Cu 2.220 1.282 0.906
Ag 0.000 0.000 0.000
Nb 4.440 2.564 1.813

4
Lattice="-1.320 3.696 2.154 -3.953 0.076 2.100 0.237 -0.250 5.226" Properties=species:S:1:pos:R:3 comment="PBE-GGA NdCu2Ag, relaxed" dos_at_fermi_per_ev_atom=0.482 polymorph_energy_ev_per_atom=0.000 mass_density_g_cm3=7.96 e_tot_ev_per_cell=-16.33 formation_enthalpy_0k_ev_per_atom=-0.129 vol_a3_per_cell=79 pbc="T T T"
Cu -4.007 2.815 6.670
Ag -2.518 1.761 4.740
Cu -1.029 0.706 2.810
Nd 0.000 0.000 0.000

10
Lattice="-0.528 3.656 3.663 -5.132 0.154 -0.893 -1.684 -5.319 8.761" Properties=species:S:1:pos:R:3 comment="PBE-GGA Nd3CuAg, relaxed" dos_at_fermi_per_ev_atom=1.066 polymorph_energy_ev_per_atom=0.000 mass_density_g_cm3=7.36 e_tot_ev_per_cell=-43.82 formation_enthalpy_0k_ev_per_atom=-0.132 vol_a3_per_cell=273 pbc="T T T"
Nd -2.948 -3.139 8.798
Ag -4.735 0.857 4.552
Nd -4.210 0.345 1.444
Cu -1.906 -1.051 3.170
Nd -1.909 2.092 3.727
Cu -5.252 -1.743 7.073
Nd -2.429 -0.524 6.263
Nd -4.730 -2.270 3.980
Nd -5.777 -1.230 10.179
Ag -2.951 0.006 9.354

4
Lattice="3.436 0.000 0.000 0.000 3.436 0.000 0.000 0.000 6.434" Properties=species:S:1:pos:R:3 comment="PBE-GGA NdCu2Ag, relaxed" dos_at_fermi_per_ev_atom=0.455 polymorph_energy_ev_per_atom=0.102 mass_density_g_cm3=8.29 e_tot_ev_per_cell=-15.92 formation_enthalpy_0k_ev_per_atom=-0.028 vol_a3_per_cell=76 pbc="T T T"
Cu 0.000 0.000 1.287
Cu 0.000 0.000 5.146
Ag 1.718 1.718 0.000
Nd 1.718 1.718 3.217

11
Lattice="3.987 0.000 0.000 0.000 7.487 0.213 0.000 -0.465 8.822" Properties=species:S:1:pos:R:3 comment="PBE-GGA Nd4Cu2Ag5, relaxed" dos_at_fermi_per_ev_atom=0.682 mass_density_g_cm3=7.83 e_tot_ev_per_cell=-43.79 formation_enthalpy_0k_ev_per_atom=-0.207 vol_a3_per_cell=264 pbc="T T T"
Ag 0.000 4.096 3.161
Cu 0.000 0.234 5.544
Ag 0.000 6.045 7.873
Cu 0.000 6.789 3.492
Ag 0.000 3.744 0.107
Nd 1.994 1.625 3.588
Ag 0.000 2.927 5.874
Nd 1.994 5.398 5.447
Nd 1.994 1.153 7.602
Ag 0.000 0.978 1.162
Nd 1.994 5.870 1.434

Repeat the seventh record exactly.
4
Lattice="3.436 0.000 0.000 0.000 3.436 0.000 0.000 0.000 6.434" Properties=species:S:1:pos:R:3 comment="PBE-GGA NdCu2Ag, relaxed" dos_at_fermi_per_ev_atom=0.455 polymorph_energy_ev_per_atom=0.102 mass_density_g_cm3=8.29 e_tot_ev_per_cell=-15.92 formation_enthalpy_0k_ev_per_atom=-0.028 vol_a3_per_cell=76 pbc="T T T"
Cu 0.000 0.000 1.287
Cu 0.000 0.000 5.146
Ag 1.718 1.718 0.000
Nd 1.718 1.718 3.217